(1)
DFT (PBE) results for a relaxed ThScCo2 crystal.

Output
The formation energy comes out at -0.218 eV/atom. The space group is R-3m, No. 166.

Cell: 4.6466 4.6466 4.7239 Å, 60.54 60.54 60.00°
Last column: nearest neighbours and their distance in Å.
Element x y z (fractional)
Sc1 0.5000 0.5000 0.5000  6 Co 2.77
Th1 0.0000 0.0000 0.0000  2 Co 2.64
Co1 0.2261 0.2261 0.3217  1 Th 2.64, 3 Sc 2.77
Co2 0.7739 0.7739 0.6783  1 Th 2.64, 3 Sc 2.77

(2)
DFT (PBE) results for a relaxed Zr2CuBr crystal.

Output
The space group is Imm2, No. 44. Its uncorrected formation energy is -12 meV per atom.

Cell: 5.9349 5.9349 5.9349 Å, 148.48 132.17 58.41°
Last column: nearest neighbours and their distance in Å.
Element x y z (fractional)
Zr1 0.7394 0.2394 0.5000  2 Br 2.81, 4 Cu 2.90, 2 Zr 3.08
Zr2 0.9921 0.9921 0.0000  4 Br 2.91, 4 Zr 3.08-3.22, 2 Cu 3.14
Cu1 0.2517 0.7517 0.5000  6 Zr 2.90-3.14, 2 Br 3.18, 2 Cu 3.22
Br1 0.5168 0.5168 0.0000  6 Zr 2.81-2.91

(3)
DFT (PBE) results for a relaxed Ba2Sr8Tl crystal.

Output
The formation energy comes out at -0.047 eV/atom. The space group is P4/mmm, No. 123.

Cell: 5.9005 5.9005 16.8383 Å, 90.00 90.00 90.00°
Last column: nearest neighbours and their distance in Å.
Element x y z (fractional)
Ba1 0.0000 0.0000 0.3060  12 Sr 4.17-4.40
Tl1 0.0000 0.0000 0.0000  8 Sr 3.52
Sr1 0.5000 0.0000 0.5000  8 Sr 4.17-4.34, 4 Ba 4.40
Sr2 0.0000 0.5000 0.8856  2 Tl 3.52, 1 Sr 3.85
Sr3 0.5000 0.5000 0.6892  4 Ba 4.17, 8 Sr 4.34-4.43
Sr4 0.5000 0.5000 0.3108  4 Ba 4.17, 8 Sr 4.34-4.43
Sr5 0.5000 0.0000 0.1144  2 Tl 3.52, 1 Sr 3.85
Sr6 0.0000 0.5000 0.1144  2 Tl 3.52, 1 Sr 3.85
Ba2 0.0000 0.0000 0.6940  12 Sr 4.17-4.40
Sr7 0.5000 0.0000 0.8856  2 Tl 3.52, 1 Sr 3.85
Sr8 0.0000 0.5000 0.5000  8 Sr 4.17-4.34, 4 Ba 4.40

(4)
DFT (PBE) results for a relaxed TiIn2SeI crystal.

Output
The space group is P4/mmm, No. 123. Its uncorrected formation energy is 875 meV per atom.

Cell: 5.4978 5.7645 5.4978 Å, 90.00 90.00 90.00°
Last column: nearest neighbours and their distance in Å.
Element x y z (fractional)
Se1 0.0000 0.0000 0.0000  4 In 2.75, 2 I 2.88
In1 0.0000 0.0000 0.5000  2 Se 2.75
Ti1 0.5000 0.5000 0.5000  4 I 3.89, 8 In 3.98
In2 0.5000 0.0000 0.0000  2 Se 2.75
I1 0.0000 0.5000 0.0000  2 Se 2.88

(5)
DFT (PBE) results for a relaxed Nd4NiCBr2 crystal.

Output
The space group is P2/m, No. 10. Its uncorrected formation energy is -774 meV per atom.

Cell: 3.8587 7.1310 7.7896 Å, 106.98 90.00 90.00°
Last column: nearest neighbours and their distance in Å.
Element x y z (fractional)
Br1 0.0000 0.5000 0.5000  6 Nd 3.18-3.23
Ni1 0.0000 0.0000 0.0000  6 Nd 2.71-2.89
Nd1 0.5000 0.7609 0.8107  1 C 2.69, 2 Ni 2.71
Nd2 0.0000 0.7062 0.1891  2 C 2.61, 1 Ni 2.89
C1 0.5000 0.5000 0.0000  6 Nd 2.61-2.69
Br2 0.5000 0.0000 0.5000  6 Nd 3.32-3.34
Nd3 0.0000 0.2938 0.8109  2 C 2.61, 1 Ni 2.89
Nd4 0.5000 0.2391 0.1893  1 C 2.69, 2 Ni 2.71

(6)
DFT (PBE) results for a relaxed Ta2ReW crystal.

Output
The formation energy comes out at -0.179 eV/atom. The space group is Pm, No. 6.

Cell: 4.5329 2.8240 5.3038 Å, 79.49 90.00 90.00°
Last column: nearest neighbours and their distance in Å.
Element x y z (fractional)
Re1 0.5000 0.7482 0.7501  4 Ta 2.76-2.77, 2 W 2.77, 2 Re 2.82
Ta1 0.0000 0.9914 0.9963  2 W 2.76-2.78, 2 Re 2.76, 4 Ta 2.81-2.82
W1 0.0000 0.5039 0.5009  4 Ta 2.76-2.78, 2 Re 2.77, 2 W 2.82
Ta2 0.5000 0.2565 0.2527  2 Re 2.76-2.77, 2 W 2.77, 4 Ta 2.81-2.82

(7)
DFT (PBE) results for a relaxed Pu4Te2AsSe crystal.

Output
The space group is P2/m, No. 10. Its uncorrected formation energy is -1150 meV per atom.

Cell: 4.2700 7.4938 7.4061 Å, 70.32 90.00 90.00°
Last column: nearest neighbours and their distance in Å.
Element x y z (fractional)
Te1 0.5000 0.0000 0.5000  6 Pu 3.13-3.15
Se1 0.0000 0.5000 0.5000  6 Pu 2.94-2.97
Pu1 0.5000 0.7276 0.2552  1 As 2.94, 2 Se 2.94, 3 Te 3.11-3.15
Pu2 0.5000 0.2724 0.7448  1 As 2.94, 2 Se 2.94, 3 Te 3.11-3.15
Pu3 0.0000 0.2723 0.2395  2 As 2.93, 1 Se 2.97, 3 Te 3.12-3.13
Pu4 0.0000 0.7277 0.7605  2 As 2.93, 1 Se 2.97, 3 Te 3.12-3.13
Te2 0.0000 0.0000 0.0000  6 Pu 3.11-3.12
As1 0.5000 0.5000 0.0000  6 Pu 2.93-2.94

(8)
DFT (PBE) results for a relaxed NiIrCl6 crystal.

Output
The space group is C2/m, No. 12. Its uncorrected formation energy is -403 meV per atom.

Cell: 6.0501 6.6637 6.6637 Å, 126.01 99.16 99.16°
Last column: nearest neighbours and their distance in Å.
Element x y z (fractional)
Ni1 0.0000 0.0000 0.0000  4 Cl 2.31
Cl1 0.2459 0.1142 0.3783  1 Ni 2.31, 1 Ir 2.35
Cl2 0.7541 0.8858 0.6217  1 Ni 2.31, 1 Ir 2.35
Cl3 0.2669 0.7344 0.7344  1 Ir 2.32
Cl4 0.7541 0.6217 0.8858  1 Ni 2.31, 1 Ir 2.35
Cl5 0.2459 0.3783 0.1142  1 Ni 2.31, 1 Ir 2.35
Cl6 0.7331 0.2656 0.2656  1 Ir 2.32
Ir1 0.5000 0.5000 0.5000  6 Cl 2.32-2.35